[1]
A PBEsol-optimized structure of Mg3Al18V2, computed with meta-GGA SCAN.

Lattice parameters (Å, degrees): 10.2521 10.2521 10.2521 60.00 60.00 60.00
Last column: nearest neighbours and their distance in Å.
Element x y z (fractional)
Mg 0.0000 0.0000 0.0000  12 Al 3.10, 2 Mg 3.14
Mg 0.0000 0.0000 0.5000  12 Al 3.10, 2 Mg 3.14
Mg 0.0000 0.5000 0.0000  12 Al 3.10, 2 Mg 3.14
Mg 0.1250 0.1250 0.1250  4 Mg 3.14, 12 Al 3.21
Mg 0.5000 0.0000 0.0000  12 Al 3.10, 2 Mg 3.14
Mg 0.8750 0.8750 0.8750  4 Mg 3.14, 12 Al 3.21
Al 0.0575 0.3256 0.3256  8 Al 2.69-2.92, 1 V 2.80
Al 0.0575 0.3256 0.7914  8 Al 2.69-2.92, 1 V 2.80
Al 0.0575 0.7914 0.3256  8 Al 2.69-2.92, 1 V 2.80
Al 0.2086 0.6744 0.6744  8 Al 2.69-2.92, 1 V 2.80
Al 0.2086 0.6744 0.9425  8 Al 2.69-2.92, 1 V 2.80
Al 0.2086 0.9425 0.6744  8 Al 2.69-2.92, 1 V 2.80
Al 0.2357 0.2357 0.5143  2 V 2.57, 10 Al 2.69-2.86
Al 0.2357 0.5143 0.2357  2 V 2.57, 10 Al 2.69-2.86
Al 0.2357 0.5143 0.5143  2 V 2.57, 10 Al 2.69-2.86
Al 0.3256 0.0575 0.3256  8 Al 2.69-2.92, 1 V 2.80
Al 0.3256 0.0575 0.7914  8 Al 2.69-2.92, 1 V 2.80
Al 0.3256 0.3256 0.0575  8 Al 2.69-2.92, 1 V 2.80
Al 0.3256 0.3256 0.7914  8 Al 2.69-2.92, 1 V 2.80
Al 0.3256 0.7914 0.0575  8 Al 2.69-2.92, 1 V 2.80
Al 0.3256 0.7914 0.3256  8 Al 2.69-2.92, 1 V 2.80
Al 0.4857 0.4857 0.7643  2 V 2.57, 10 Al 2.69-2.86
Al 0.4857 0.7643 0.4857  2 V 2.57, 10 Al 2.69-2.86
Al 0.4857 0.7643 0.7643  2 V 2.57, 10 Al 2.69-2.86
Al 0.5143 0.2357 0.2357  2 V 2.57, 10 Al 2.69-2.86
Al 0.5143 0.2357 0.5143  2 V 2.57, 10 Al 2.69-2.86
Al 0.5143 0.5143 0.2357  2 V 2.57, 10 Al 2.69-2.86
Al 0.6744 0.2086 0.6744  8 Al 2.69-2.92, 1 V 2.80
Al 0.6744 0.2086 0.9425  8 Al 2.69-2.92, 1 V 2.80
Al 0.6744 0.6744 0.2086  8 Al 2.69-2.92, 1 V 2.80
Al 0.6744 0.6744 0.9425  8 Al 2.69-2.92, 1 V 2.80
Al 0.6744 0.9425 0.2086  8 Al 2.69-2.92, 1 V 2.80
Al 0.6744 0.9425 0.6744  8 Al 2.69-2.92, 1 V 2.80
Al 0.7643 0.4857 0.4857  2 V 2.57, 10 Al 2.69-2.86
Al 0.7643 0.4857 0.7643  2 V 2.57, 10 Al 2.69-2.86
Al 0.7643 0.7643 0.4857  2 V 2.57, 10 Al 2.69-2.86
Al 0.7914 0.0575 0.3256  8 Al 2.69-2.92, 1 V 2.80
Al 0.7914 0.3256 0.0575  8 Al 2.69-2.92, 1 V 2.80
Al 0.7914 0.3256 0.3256  8 Al 2.69-2.92, 1 V 2.80
Al 0.9425 0.2086 0.6744  8 Al 2.69-2.92, 1 V 2.80
Al 0.9425 0.6744 0.2086  8 Al 2.69-2.92, 1 V 2.80
Al 0.9425 0.6744 0.6744  8 Al 2.69-2.92, 1 V 2.80
V 0.0000 0.5000 0.5000  12 Al 2.57-2.80
V 0.5000 0.0000 0.5000  12 Al 2.57-2.80
V 0.5000 0.5000 0.0000  12 Al 2.57-2.80
V 0.5000 0.5000 0.5000  12 Al 2.57-2.80

Calculated values
Final energy (eV/atom): -8.395
D(E_F) (states/eV/f.u.): 8.52
Space-group type: Fd-3m (227)
Crystal system: cubic

[2]
A PBEsol-optimized structure of Ba2InPb, computed with meta-GGA SCAN.

Lattice parameters (Å, degrees): 4.8286 5.1169 12.9125 90.00 90.00 90.00
Last column: nearest neighbours and their distance in Å.
Element x y z (fractional)
Ba 0.0000 0.0000 0.0000  4 In 3.63, 3 Pb 3.72-3.75
Ba 0.0000 0.5000 0.5000  4 In 3.63, 3 Pb 3.72-3.75
Ba 0.5000 0.0000 0.2784  4 Pb 3.62, 3 In 3.72-3.75
Ba 0.5000 0.5000 0.7784  4 Pb 3.62, 3 In 3.72-3.75
In 0.5000 0.0000 0.5689  2 Pb 3.04
In 0.5000 0.5000 0.0689  2 Pb 3.04
Pb 0.0000 0.0000 0.7121  2 In 3.04
Pb 0.0000 0.5000 0.2121  2 In 3.04

Calculated values
Offset from the most stable computed form (eV/f.u.): 0.00
D(E_F) (states/eV/f.u.): 2.86
Space-group type: Amm2 (38)
Crystal system: orthorhombic

[3]
A PBEsol-optimized structure of AsSCl2O, computed with meta-GGA SCAN.

Lattice parameters (Å, degrees): 4.8082 4.8082 4.8961 90.00 90.00 90.00
Last column: nearest neighbours and their distance in Å.
Element x y z (fractional)
As 0.0000 0.0000 0.0000  4 Cl 2.40, 2 S 2.45
S 0.0000 0.0000 0.5000  2 As 2.45
Cl 0.0000 0.5000 0.0000  2 As 2.40
Cl 0.5000 0.0000 0.0000  2 As 2.40
O 0.5000 0.5000 0.5000  4 S 3.40, 8 Cl 3.43

Calculated values
Final energy (eV/atom): -9.885
D(E_F) (states/eV/f.u.): 2.39
Space-group type: P4/mmm (123)
Crystal system: tetragonal

Please write out number 3 again, unchanged.
A PBEsol-optimized structure of AsSCl2O, computed with meta-GGA SCAN.

Lattice parameters (Å, degrees): 4.8082 4.8082 4.8961 90.00 90.00 90.00
Last column: nearest neighbours and their distance in Å.
Element x y z (fractional)
As 0.0000 0.0000 0.0000  4 Cl 2.40, 2 S 2.45
S 0.0000 0.0000 0.5000  2 As 2.45
Cl 0.0000 0.5000 0.0000  2 As 2.40
Cl 0.5000 0.0000 0.0000  2 As 2.40
O 0.5000 0.5000 0.5000  4 S 3.40, 8 Cl 3.43

Calculated values
Final energy (eV/atom): -9.885
D(E_F) (states/eV/f.u.): 2.39
Space-group type: P4/mmm (123)
Crystal system: tetragonal

> Look up the D(E_F) of the first one.

8.52 states/eV/f.u.

> Which formula does entry 1 have?

Mg3Al18V2

> The lowest D(E_F) belongs to which entry?

AsSCl2O